--- i ---
The following is a GGA-PBE calculation of AgHgF6 after structural relaxation, from Alexandria.

It has space group C2/m (No. 12), with a = 5.607 Å, b = 8.800 Å, c = 5.503 Å, α = 90.00°, β = 102.61° and γ = 90.00°. The inequivalent atoms are Ag at (0.000, 0.000, 0.000), Hg at (0.000, 0.500, 0.500), F at (0.202, 0.151, 0.219) and F at (0.231, 0.500, 0.254).

As for the density of states at the Fermi level: 0.37 states/eV per atom.

=====

--- ii ---
The following is a GGA-PBE calculation of AgHgF6 after structural relaxation, from Alexandria.

It has space group P-1 (No. 2), with a = 5.340 Å, b = 5.472 Å, c = 5.908 Å, α = 64.62°, β = 63.81° and γ = 61.39°. The inequivalent atoms are Ag at (0.000, 0.000, 0.000), Hg at (0.500, 0.500, 0.500), F at (0.091, 0.767, 0.771), F at (0.248, 0.620, 0.249) and F at (0.364, 0.100, 0.766).

As for the density of states at the Fermi level: 0.40 states/eV per atom.

=====

ii comes first in stability; the runner-up is 21 meV/atom higher.

=====

--- i ---
The following is a GGA-PBE calculation of AgHg3F after structural relaxation, from Alexandria.

It has space group Pm-3m (No. 221), with a = 5.067 Å, b = 5.067 Å, c = 5.067 Å, α = 90.00°, β = 90.00° and γ = 90.00°. The inequivalent atoms are Ag at (0.000, 0.000, 0.000), Hg at (0.000, 0.500, 0.500) and F at (0.500, 0.500, 0.500).

As for the density of states at the Fermi level: 0.58 states/eV per atom.

=====

--- ii ---
The following is a GGA-PBE calculation of AgHg3F after structural relaxation, from Alexandria.

It has space group Pm-3m (No. 221), with a = 5.417 Å, b = 5.417 Å, c = 5.417 Å, α = 90.00°, β = 90.00° and γ = 90.00°. The inequivalent atoms are Ag at (0.000, 0.000, 0.000), Hg at (0.000, 0.000, 0.500) and F at (0.500, 0.500, 0.500).

As for the density of states at the Fermi level: 0.30 states/eV per atom.

=====

ii comes first in stability; the runner-up is 156 meV/atom higher.

=====

--- i ---
The following is a GGA-PBE calculation of AgHgNF2 after structural relaxation, from Alexandria.

It has space group P4/mmm (No. 123), with a = 4.441 Å, b = 4.441 Å, c = 4.128 Å, α = 90.00°, β = 90.00° and γ = 90.00°. The inequivalent atoms are Ag at (0.000, 0.000, 0.000), Hg at (0.500, 0.500, 0.500), N at (0.000, 0.000, 0.500) and F at (0.000, 0.500, 0.000).

As for the density of states at the Fermi level: 0.40 states/eV per atom.

=====

--- ii ---
The following is a GGA-PBE calculation of AgHgNF2 after structural relaxation, from Alexandria.

It has space group P4/mmm (No. 123), with a = 4.699 Å, b = 4.699 Å, c = 4.129 Å, α = 90.00°, β = 90.00° and γ = 90.00°. The inequivalent atoms are Ag at (0.000, 0.000, 0.000), Hg at (0.500, 0.500, 0.500), N at (0.500, 0.500, 0.000) and F at (0.000, 0.500, 0.500).

As for the density of states at the Fermi level: 0.27 states/eV per atom.

=====

i comes first in stability; the runner-up is 47 meV/atom higher.